No. 1
Compound: ScNiAs2
Source: the Alexandria database
Functional: PBE
Structure: optimized geometry

Results
V (Å³/atom): 17.43
Formation energy (meV per atom): -490
Calculated density (g/cm³): 6.039
Magnetic moment (μB per cell): 0.0

a = 4.670 Å, b = 4.670 Å, c = 4.670 Å
α = 130.17°, β = 107.82°, γ = 92.81°
Sites, in units of the cell vectors:
Sc1 0.000 0.000 0.000
Ni1 0.500 0.500 0.000
As1 0.295 0.795 0.500
As2 0.705 0.205 0.500


No. 2
Compound: Pr6Ho3ErTm2
Source: the Alexandria database
Functional: PBE
Structure: optimized geometry

Results
V (Å³/atom): 33.10
Formation energy (meV per atom): 14
Calculated density (g/cm³): 7.715
Magnetic moment (μB per cell): 0.0

a = 6.280 Å, b = 6.280 Å, c = 11.816 Å
α = 95.07°, β = 95.07°, γ = 119.99°
Sites, in units of the cell vectors:
Pr1 0.083 0.417 0.751
Pr2 0.250 0.250 0.249
Pr3 0.417 0.083 0.751
Pr4 0.583 0.917 0.249
Pr5 0.750 0.750 0.751
Pr6 0.917 0.583 0.249
Ho1 0.000 0.000 0.500
Ho2 0.333 0.667 0.500
Ho3 0.667 0.333 0.500
Er1 0.500 0.500 0.000
Tm1 0.167 0.833 0.000
Tm2 0.833 0.167 0.000


No. 3
Compound: KTeAs2
Source: the Alexandria database
Functional: PBE
Structure: optimized geometry

Results
V (Å³/atom): 30.75
E_form (uncorrected) (eV/atom): -0.23
Calculated density (g/cm³): 4.274
Magnetic moment (μB per cell): 0.0

a = 5.938 Å, b = 5.938 Å, c = 6.208 Å
α = 111.49°, β = 111.49°, γ = 37.54°
Sites, in units of the cell vectors:
K1 0.000 0.000 0.000
Te1 0.500 0.500 0.500
As1 0.221 0.221 0.612
As2 0.779 0.779 0.388